## BaMgTe2 (PBE)

Data for BaMgTe2 after structural relaxation.

Computed properties:
volume	216.2	Å³ per cell
formation energy (no corrections)	-0.969	eV per atom
calculated total energy	-3.42	eV/atom

```
4
Lattice="3.116 0.000 8.568 -1.558 2.699 8.568 -1.558 -2.699 8.568" Properties=species:S:1:pos:R:3 pbc="T T T"
Te 0.000 0.000 23.102
Te 0.000 0.000 2.600
Mg 0.000 0.000 0.000
Ba 0.000 0.000 12.851
```